The following is a DFT calculation (PBE) of NdLu2Ti after structural relaxation.

Computed properties:
Energy of formation: 0.136 eV per atom
Fermi-level density of states: 5.64 states/eV per cell
ΔE to the lowest computed polymorph: 0 meV/atom

Cell lengths 3.3494, 3.3494, 9.7352 Å; angles 90.00, 90.00, 90.00 degrees
Closest atoms and distances in Å follow each position.
Space group P4/mmm (No. 123)
Asymmetric unit:
Nd: 0.0000 0.0000 0.0000 x1  4 Nd 3.35, 8 Lu 3.68
Lu: 0.5000 0.5000 0.2899 x2  4 Ti 3.13, 4 Lu 3.35
Ti: 0.0000 0.0000 0.5000 x1  8 Lu 3.13, 4 Ti 3.35